# 1
Sr2ScZn: optimized geometry, PBEsol.

Cell lengths 5.4937, 5.4937, 5.4937 Å; angles 60.00, 60.00, 60.00 degrees
Closest atoms and distances in Å follow each position.
Element x y z (fractional)
Sc 0.5000 0.5000 0.5000  4 Sr 3.36, 4 Zn 3.36
Sr 0.0000 0.0000 0.0000  4 Sr 3.36, 4 Zn 3.36
Sr 0.7500 0.7500 0.7500  4 Sc 3.36, 4 Sr 3.36
Zn 0.2500 0.2500 0.2500  4 Sc 3.36, 4 Sr 3.36

## Properties
Calculated density in g cm⁻³: 4.045
DFT formation energy in kJ/mol of formula units: 113
Total magnetic moment in μB per atom: 0.001
Space-group type: No. 216

# 2
TlTe2Ir: optimized geometry, PBEsol.

Cell lengths 3.5493, 5.5440, 6.2021 Å; angles 116.55, 106.63, 90.00 degrees
Closest atoms and distances in Å follow each position.
Element x y z (fractional)
Ir 0.5000 0.0000 0.0000  4 Te 2.60
Te 0.8187 0.8187 0.6373  2 Ir 2.60
Te 0.1813 0.1813 0.3627  2 Ir 2.60
Tl 0.0000 0.5000 0.0000  4 Ir 3.29, 4 Te 3.36, 2 Tl 3.55

## Properties
Relative energy among the computed polymorphs in eV per atom: 0.306
Calculated density in g cm⁻³: 10.464
E_form (uncorrected) in eV/atom: 0.1321
Total magnetic moment in μB per atom: 0.000
Space-group type: No. 71

# 3
SrHfCd2Fe: optimized geometry, PBEsol.

Cell lengths 5.4259, 5.4259, 5.3841 Å; angles 90.00, 90.00, 90.00 degrees
Closest atoms and distances in Å follow each position.
Element x y z (fractional)
Sr 0.0000 0.0000 0.0000  2 Hf 2.69, 4 Cd 2.71
Hf 0.0000 0.0000 0.5000  2 Sr 2.69
Fe 0.5000 0.5000 0.5000  8 Cd 3.82, 4 Hf 3.84
Cd 0.0000 0.5000 0.0000  2 Sr 2.71
Cd 0.5000 0.0000 0.0000  2 Sr 2.71

## Properties
Calculated density in g cm⁻³: 5.728
DFT formation energy in kJ/mol of formula units: 1022
Total magnetic moment in μB per atom: 0.581
Space-group type: No. 123

# 4
TaMn2Sb: optimized geometry, PBEsol.

Cell lengths 3.7984, 3.7984, 4.9356 Å; angles 112.63, 112.63, 90.00 degrees
Closest atoms and distances in Å follow each position.
Element x y z (fractional)
Mn 0.0000 0.0000 0.0000  4 Sb 2.69, 4 Ta 2.81, 4 Mn 2.81
Mn 0.7500 0.2500 0.5000  4 Ta 2.69, 4 Mn 2.81, 4 Sb 2.81
Sb 0.5000 0.5000 0.0000  8 Mn 2.69-2.81, 4 Ta 2.81
Ta 0.2500 0.7500 0.5000  8 Mn 2.69-2.81, 4 Sb 2.81

## Properties
Calculated density in g cm⁻³: 11.468
E_form (uncorrected) in eV/atom: 0.1350
Total magnetic moment in μB per atom: 0.868
Space-group type: No. 119

# 5
Si3PtSe: optimized geometry, PBEsol.

Cell lengths 4.6680, 4.6680, 4.6680 Å; angles 90.00, 90.00, 90.00 degrees
Closest atoms and distances in Å follow each position.
Element x y z (fractional)
Si 0.0000 0.5000 0.0000  2 Pt 2.33
Si 0.0000 0.0000 0.5000  2 Pt 2.33
Si 0.5000 0.0000 0.0000  2 Pt 2.33
Se 0.5000 0.5000 0.5000  12 Si 3.30
Pt 0.0000 0.0000 0.0000  6 Si 2.33

## Properties
Relative energy among the computed polymorphs in eV per atom: 0.000
Calculated density in g cm⁻³: 5.849
E_form (uncorrected) in eV/atom: 0.3643
Total magnetic moment in μB per atom: 0.000
Space-group type: No. 221

# 6
TlGe2Au2: optimized geometry, PBEsol.

Cell lengths 4.4584, 4.4584, 6.2846 Å; angles 110.78, 110.78, 90.00 degrees
Closest atoms and distances in Å follow each position.
Element x y z (fractional)
Tl 0.0000 0.0000 0.0000  8 Au 3.44, 8 Ge 3.52
Au 0.3739 0.3739 0.7478  4 Ge 2.60, 1 Au 2.74
Au 0.6261 0.6261 0.2522  4 Ge 2.60, 1 Au 2.74
Ge 0.2500 0.7500 0.5000  4 Au 2.60
Ge 0.7500 0.2500 0.5000  4 Au 2.60

## Properties
Calculated density in g cm⁻³: 11.426
DFT formation energy in kJ/mol of formula units: 29
Total magnetic moment in μB per atom: 0.000
Space-group type: No. 139

# 7
TcMo2W: optimized geometry, PBEsol.

Cell lengths 3.1069, 4.4088, 4.4088 Å; angles 90.00, 90.00, 90.00 degrees
Closest atoms and distances in Å follow each position.
Element x y z (fractional)
Mo 0.0000 0.0000 0.5000  4 W 2.70, 4 Tc 2.70
Mo 0.0000 0.5000 0.0000  4 Tc 2.70, 4 W 2.70
Tc 0.5000 0.5000 0.5000  8 Mo 2.70
W 0.5000 0.0000 0.0000  8 Mo 2.70

## Properties
Relative energy among the computed polymorphs in eV per atom: 0.022
Calculated density in g cm⁻³: 13.026
DFT formation energy in kJ/mol of formula units: 22
Total magnetic moment in μB per atom: 0.000
Space-group type: No. 123

# 8
BaNa2Bi2: optimized geometry, PBEsol.

Cell lengths 4.9650, 4.9650, 7.8232 Å; angles 108.50, 108.50, 90.00 degrees
Closest atoms and distances in Å follow each position.
Element x y z (fractional)
Na 0.2500 0.7500 0.5000  4 Bi 3.18, 4 Na 3.51
Na 0.7500 0.2500 0.5000  4 Bi 3.18, 4 Na 3.51
Bi 0.3924 0.3924 0.7849  1 Bi 3.01, 4 Na 3.18
Bi 0.6076 0.6076 0.2151  1 Bi 3.01, 4 Na 3.18
Ba 0.0000 0.0000 0.0000  8 Bi 3.82

## Properties
Relative energy among the computed polymorphs in eV per atom: 0.000
Calculated density in g cm⁻³: 5.793
DFT formation energy in kJ/mol of formula units: -257
Total magnetic moment in μB per atom: 0.000
Space-group type: No. 139